Record 1
{
  "formula": "ErAg2Br6",
  "functional": "PBE",
  "state": "optimized geometry",
  "cell": [[-0.683, 6.378, 3.065], [-4.557, -1.838, 8.643], [8.228, 1.051, 5.480]],
  "species": ["Er", "Er", "Ag", "Ag", "Ag", "Ag", "Br", "Br", "Br", "Br", "Br", "Br", "Br", "Br", "Br", "Br", "Br", "Br"],
  "fractional_positions": [[0.250, 0.081, 0.919], [0.750, 0.919, 0.081], [0.341, 0.488, 0.683], [0.159, 0.317, 0.512], [0.659, 0.512, 0.317], [0.841, 0.683, 0.488], [0.435, 0.697, 0.531], [0.065, 0.469, 0.303], [0.565, 0.303, 0.469], [0.935, 0.531, 0.697], [0.815, 0.913, 0.345], [0.685, 0.655, 0.087], [0.185, 0.087, 0.655], [0.315, 0.345, 0.913], [0.155, 0.820, 0.952], [0.345, 0.048, 0.180], [0.845, 0.180, 0.048], [0.655, 0.952, 0.820]],
  "n_ef_per_ev_fu": 7.41,
  "formation_energy_uncorrected_ev_per_atom": -0.932
}

***

Record 2
{
  "formula": "ErAg3Br6",
  "functional": "PBE",
  "state": "optimized geometry",
  "cell": [[7.296, 0.000, -0.136], [0.000, 7.186, 0.000], [-0.111, 0.000, 11.150]],
  "species": ["Er", "Er", "Ag", "Ag", "Ag", "Ag", "Ag", "Ag", "Br", "Br", "Br", "Br", "Br", "Br", "Br", "Br", "Br", "Br", "Br", "Br"],
  "fractional_positions": [[0.500, 0.500, 0.500], [0.000, 0.000, 0.000], [0.477, 0.978, 0.759], [0.500, 0.500, 0.000], [0.523, 0.022, 0.241], [0.977, 0.522, 0.259], [0.000, 0.000, 0.500], [0.023, 0.478, 0.741], [0.665, 0.172, 0.943], [0.656, 0.175, 0.587], [0.614, 0.394, 0.269], [0.386, 0.606, 0.731], [0.344, 0.825, 0.413], [0.335, 0.828, 0.057], [0.165, 0.328, 0.443], [0.156, 0.325, 0.087], [0.114, 0.106, 0.769], [0.886, 0.894, 0.231], [0.844, 0.675, 0.913], [0.835, 0.672, 0.557]],
  "n_ef_per_ev_fu": 0.00,
  "relative_energy_ev_per_atom": 0.0000,
  "formation_energy_uncorrected_ev_per_atom": -0.900
}

***

Record 3
{
  "formula": "ErAgBr4",
  "functional": "PBE",
  "state": "optimized geometry",
  "cell": [[6.966, -0.151, 0.000], [-1.397, 6.795, 0.000], [-2.785, -3.322, 9.485]],
  "species": ["Er", "Er", "Ag", "Ag", "Br", "Br", "Br", "Br", "Br", "Br", "Br", "Br"],
  "fractional_positions": [[0.815, 0.065, 0.129], [0.185, 0.935, 0.871], [0.381, 0.631, 0.263], [0.619, 0.369, 0.737], [0.278, 0.067, 0.663], [0.071, 0.811, 0.089], [0.115, 0.404, 0.337], [0.482, 0.722, 0.911], [0.722, 0.933, 0.337], [0.885, 0.596, 0.663], [0.929, 0.189, 0.911], [0.518, 0.278, 0.089]],
  "n_ef_per_ev_fu": 0.00,
  "relative_energy_ev_per_atom": 0.0149,
  "formation_energy_uncorrected_ev_per_atom": -1.324
}

***

Record 4
{
  "formula": "ErAgBr4",
  "functional": "PBE",
  "state": "optimized geometry",
  "cell": [[4.112, 0.000, 0.000], [-2.056, 6.986, -3.464], [0.000, -0.011, 7.391]],
  "species": ["Er", "Ag", "Br", "Br", "Br", "Br"],
  "fractional_positions": [[0.000, 0.000, 0.000], [0.500, 0.000, 0.500], [0.379, 0.759, 0.015], [0.102, 0.204, 0.417], [0.621, 0.241, 0.985], [0.898, 0.796, 0.583]],
  "n_ef_per_ev_fu": 0.00,
  "relative_energy_ev_per_atom": 0.0000,
  "formation_energy_uncorrected_ev_per_atom": -1.339
}

***

Record 5
{
  "formula": "ErAgBr",
  "functional": "PBE",
  "state": "optimized geometry",
  "cell": [[-0.893, -2.235, 2.756], [2.660, -0.941, -2.330], [9.960, 6.699, 8.662]],
  "species": ["Ag", "Ag", "Er", "Er", "Br", "Br"],
  "fractional_positions": [[0.334, 0.669, 0.000], [0.333, 0.666, 0.500], [0.666, 0.333, 0.357], [0.666, 0.333, 0.643], [0.333, 0.666, 0.778], [0.333, 0.666, 0.222]],
  "n_ef_per_ev_fu": 1.27,
  "formation_energy_uncorrected_ev_per_atom": -0.579
}

***

Record 6
{
  "formula": "ErAg3Br6",
  "functional": "PBE",
  "state": "optimized geometry",
  "cell": [[7.159, 0.255, 3.775], [2.678, 6.703, 3.827], [0.632, 0.125, 8.148]],
  "species": ["Er", "Ag", "Ag", "Ag", "Br", "Br", "Br", "Br", "Br", "Br"],
  "fractional_positions": [[0.000, 0.000, 0.000], [0.500, 0.500, 0.000], [0.500, 0.000, 0.500], [0.500, 0.500, 0.500], [0.733, 0.778, 0.261], [0.267, 0.222, 0.739], [0.738, 0.266, 0.773], [0.262, 0.734, 0.227], [0.204, 0.755, 0.754], [0.796, 0.245, 0.246]],
  "n_ef_per_ev_fu": 0.00,
  "relative_energy_ev_per_atom": 0.0232,
  "formation_energy_uncorrected_ev_per_atom": -0.877
}